(1)
Si2Sn2Au GGA-PBE relaxed; formation energy without anion corrections = 167 meV per atom; crystal system = tetragonal
1.0
-0.033 -3.412 0.780
1.603 0.678 3.037
-6.908 -0.412 5.755
Si Au Sn
2 1 2
Direct
0.750 0.250 0.500 Si
0.250 0.750 0.500 Si
0.000 0.000 0.000 Au
0.397 0.397 0.207 Sn
0.603 0.603 0.793 Sn

(2)
SiSnAu4 GGA-PBE relaxed; formation energy without anion corrections = 14 meV per atom; crystal system = monoclinic
1.0
-4.779 -1.342 1.016
1.366 -5.613 -0.990
3.602 2.569 7.704
Si Sn Au
2 2 8
Direct
0.500 0.000 0.500 Si
0.000 0.500 0.500 Si
0.758 0.750 0.000 Sn
0.242 0.250 0.000 Sn
0.649 0.100 0.821 Au
0.828 0.400 0.179 Au
0.351 0.900 0.179 Au
0.172 0.600 0.821 Au
0.060 0.955 0.647 Au
0.413 0.545 0.353 Au
0.940 0.045 0.353 Au
0.587 0.455 0.647 Au

(3)
SiSnAu GGA-PBE relaxed; formation energy without anion corrections = 82 meV per atom; crystal system = trigonal
1.0
4.481 0.000 0.000
0.000 4.078 0.000
0.000 -2.039 3.531
Si Au Sn
1 1 1
Direct
0.068 0.000 0.000 Si
0.273 0.667 0.333 Au
0.660 0.333 0.667 Sn

(4)
Si2Sn2Au GGA-PBE relaxed; formation energy without anion corrections = 169 meV per atom; crystal system = tetragonal
1.0
6.322 0.000 0.000
0.000 6.322 0.000
0.000 0.000 5.501
Si Au Sn
4 2 4
Direct
0.369 0.869 0.000 Si
0.869 0.631 0.000 Si
0.631 0.131 0.000 Si
0.131 0.369 0.000 Si
0.000 0.000 0.000 Au
0.500 0.500 0.000 Au
0.185 0.685 0.500 Sn
0.685 0.815 0.500 Sn
0.815 0.315 0.500 Sn
0.315 0.185 0.500 Sn

(5)
SiSnAu3 GGA-PBE relaxed; formation energy without anion corrections = -31 meV per atom; crystal system = monoclinic
1.0
5.813 0.000 -0.107
0.000 4.536 0.000
-2.990 -2.268 8.031
Si Sn Au
2 2 6
Direct
0.251 0.132 0.264 Si
0.749 0.868 0.736 Si
0.343 0.396 0.793 Sn
0.657 0.604 0.207 Sn
0.769 0.013 0.026 Au
0.231 0.987 0.974 Au
0.361 0.700 0.400 Au
0.639 0.300 0.600 Au
0.068 0.804 0.609 Au
0.932 0.196 0.391 Au

(6)
SiSnAu3 GGA-PBE relaxed; formation energy without anion corrections = -42 meV per atom; crystal system = monoclinic
1.0
8.653 0.000 0.000
0.000 3.960 -0.581
0.000 3.357 11.632
Si Sn Au
4 4 12
Direct
0.072 0.772 0.476 Si
0.928 0.228 0.524 Si
0.572 0.228 0.024 Si
0.428 0.772 0.976 Si
0.003 0.342 0.169 Sn
0.997 0.658 0.831 Sn
0.503 0.658 0.331 Sn
0.497 0.342 0.669 Sn
0.187 0.839 0.290 Au
0.813 0.161 0.710 Au
0.687 0.161 0.210 Au
0.313 0.839 0.790 Au
0.651 0.114 0.479 Au
0.349 0.886 0.521 Au
0.151 0.886 0.021 Au
0.849 0.114 0.979 Au
0.150 0.369 0.652 Au
0.850 0.631 0.348 Au
0.650 0.631 0.848 Au
0.350 0.369 0.152 Au

(7)
Si3Sn12Au5 GGA-PBE relaxed; formation energy without anion corrections = 127 meV per atom; crystal system = cubic
1.0
14.201 0.000 0.000
-4.734 13.389 0.000
-4.734 -6.695 11.595
Si Au Sn
12 20 48
Direct
0.750 0.375 0.125 Si
0.875 0.750 0.125 Si
0.375 0.750 0.625 Si
0.250 0.125 0.375 Si
0.875 0.125 0.250 Si
0.375 0.625 0.250 Si
0.625 0.375 0.750 Si
0.125 0.875 0.750 Si
0.750 0.875 0.625 Si
0.625 0.250 0.375 Si
0.125 0.250 0.875 Si
0.250 0.625 0.875 Si
0.125 0.375 0.250 Au
0.000 0.500 0.000 Au
0.000 0.000 0.000 Au
0.375 0.250 0.125 Au
0.500 0.000 0.500 Au
0.500 0.500 0.000 Au
0.125 0.750 0.375 Au
0.750 0.125 0.875 Au
0.750 0.625 0.375 Au
0.375 0.125 0.750 Au
0.625 0.875 0.250 Au
0.500 0.500 0.500 Au
0.500 0.000 0.000 Au
0.000 0.000 0.500 Au
0.250 0.375 0.625 Au
0.250 0.875 0.125 Au
0.000 0.500 0.500 Au
0.875 0.250 0.625 Au
0.625 0.750 0.875 Au
0.875 0.625 0.750 Au
0.728 0.132 0.059 Sn
0.330 0.559 0.427 Sn
0.941 0.368 0.272 Sn
0.559 0.228 0.132 Sn
0.597 0.728 0.670 Sn
0.941 0.573 0.170 Sn
0.330 0.772 0.403 Sn
0.073 0.903 0.132 Sn
0.573 0.941 0.670 Sn
0.728 0.597 0.170 Sn
0.772 0.441 0.368 Sn
0.830 0.927 0.059 Sn
0.132 0.728 0.559 Sn
0.368 0.427 0.097 Sn
0.097 0.927 0.368 Sn
0.403 0.132 0.573 Sn
0.097 0.170 0.228 Sn
0.441 0.670 0.073 Sn
0.830 0.903 0.272 Sn
0.132 0.403 0.073 Sn
0.368 0.941 0.772 Sn
0.573 0.632 0.403 Sn
0.927 0.830 0.559 Sn
0.772 0.330 0.903 Sn
0.427 0.368 0.597 Sn
0.073 0.170 0.441 Sn
0.228 0.670 0.097 Sn
0.170 0.097 0.728 Sn
0.632 0.059 0.228 Sn
0.868 0.597 0.927 Sn
0.559 0.330 0.927 Sn
0.597 0.868 0.427 Sn
0.903 0.830 0.772 Sn
0.903 0.073 0.632 Sn
0.868 0.272 0.441 Sn
0.170 0.073 0.941 Sn
0.632 0.573 0.903 Sn
0.427 0.059 0.330 Sn
0.272 0.403 0.830 Sn
0.228 0.559 0.632 Sn
0.927 0.097 0.868 Sn
0.670 0.228 0.597 Sn
0.441 0.772 0.868 Sn
0.059 0.427 0.830 Sn
0.403 0.272 0.330 Sn
0.059 0.632 0.728 Sn
0.670 0.441 0.573 Sn
0.272 0.868 0.941 Sn

(8)
Si5Sn3Au12 GGA-PBE relaxed; formation energy without anion corrections = 61 meV per atom; crystal system = cubic
1.0
-3.459 11.551 -5.396
-10.819 -6.326 4.174
8.062 2.161 10.238
Sn Si Au
12 20 48
Direct
0.750 0.375 0.125 Sn
0.875 0.750 0.125 Sn
0.375 0.750 0.625 Sn
0.250 0.125 0.375 Sn
0.875 0.125 0.250 Sn
0.375 0.625 0.250 Sn
0.625 0.375 0.750 Sn
0.125 0.875 0.750 Sn
0.750 0.875 0.625 Sn
0.625 0.250 0.375 Sn
0.125 0.250 0.875 Sn
0.250 0.625 0.875 Sn
0.125 0.375 0.250 Si
0.000 0.500 0.000 Si
0.000 0.000 0.000 Si
0.375 0.250 0.125 Si
0.500 0.000 0.500 Si
0.500 0.500 0.000 Si
0.125 0.750 0.375 Si
0.750 0.125 0.875 Si
0.750 0.625 0.375 Si
0.375 0.125 0.750 Si
0.625 0.875 0.250 Si
0.500 0.500 0.500 Si
0.500 0.000 0.000 Si
0.000 0.000 0.500 Si
0.250 0.375 0.625 Si
0.250 0.875 0.125 Si
0.000 0.500 0.500 Si
0.875 0.250 0.625 Si
0.625 0.750 0.875 Si
0.875 0.625 0.750 Si
0.713 0.121 0.041 Au
0.328 0.541 0.420 Au
0.959 0.379 0.287 Au
0.541 0.213 0.121 Au
0.592 0.713 0.672 Au
0.959 0.580 0.172 Au
0.328 0.787 0.408 Au
0.080 0.908 0.121 Au
0.580 0.959 0.672 Au
0.713 0.592 0.172 Au
0.787 0.459 0.379 Au
0.828 0.920 0.041 Au
0.121 0.713 0.541 Au
0.379 0.420 0.092 Au
0.092 0.920 0.379 Au
0.408 0.121 0.580 Au
0.092 0.172 0.213 Au
0.459 0.672 0.080 Au
0.828 0.908 0.287 Au
0.121 0.408 0.080 Au
0.379 0.959 0.787 Au
0.580 0.621 0.408 Au
0.920 0.828 0.541 Au
0.787 0.328 0.908 Au
0.420 0.379 0.592 Au
0.080 0.172 0.459 Au
0.213 0.672 0.092 Au
0.172 0.092 0.713 Au
0.621 0.041 0.213 Au
0.879 0.592 0.920 Au
0.541 0.328 0.920 Au
0.592 0.879 0.420 Au
0.908 0.828 0.787 Au
0.908 0.080 0.621 Au
0.879 0.287 0.459 Au
0.172 0.080 0.959 Au
0.621 0.580 0.908 Au
0.420 0.041 0.328 Au
0.287 0.408 0.828 Au
0.213 0.541 0.621 Au
0.920 0.092 0.879 Au
0.672 0.213 0.592 Au
0.459 0.787 0.879 Au
0.041 0.420 0.828 Au
0.408 0.287 0.328 Au
0.041 0.621 0.713 Au
0.672 0.459 0.580 Au
0.287 0.879 0.959 Au